1.
3
Lattice="0.000 2.902 2.902 2.902 0.000 2.902 2.902 2.902 0.000" Properties=species:S:1:pos:R:3 comment="BeInMo PBE relaxed" dos_at_fermi_per_ev_cell=0.906 space_group="No. 216" e_above_lowest_polymorph_ev_per_atom=0.175 pbc="T T T"
Be 0.000 0.000 0.000
In 1.451 1.451 1.451
Mo 4.353 4.353 4.353



2.
12
Lattice="6.372 -3.178 0.000 6.372 3.178 0.000 -2.813 0.000 8.353" Properties=species:S:1:pos:R:3 comment="Pm3CoPb2 PBE relaxed" dft_energy_ev_per_cell=-60.94 dos_at_fermi_per_ev_cell=7.774 space_group="No. 15" pbc="T T T"
Pm 4.262 2.011 6.265
Pm 3.341 0.779 3.037
Pm 1.935 -0.779 7.213
Pm 7.996 0.779 1.139
Pm 6.590 -0.779 5.316
Pm 5.669 -2.011 2.088
Co 5.669 0.831 2.088
Co 4.262 -0.831 6.265
Pb 1.790 0.879 0.004
Pb 0.383 -0.879 4.181
Pb 9.548 0.879 4.172
Pb 8.142 -0.879 8.348



3.
19
Lattice="5.082 2.934 4.811 -5.082 2.934 4.811 0.000 -5.868 4.811" Properties=species:S:1:pos:R:3 comment="Ba2Cd12Pd5 PBE relaxed" dft_energy_ev_per_cell=-46.86 dos_at_fermi_per_ev_cell=9.233 space_group="No. 166" pbc="T T T"
Ba 0.000 0.000 2.290
Ba 0.000 0.000 12.142
Cd 0.000 -2.720 4.553
Cd -2.355 1.360 4.553
Cd -1.440 -2.495 7.216
Cd -2.881 0.000 7.216
Cd -2.355 -1.360 9.879
Cd 1.440 -2.495 7.216
Cd -1.440 2.495 7.216
Cd 2.355 1.360 4.553
Cd 2.881 0.000 7.216
Cd 1.440 2.495 7.216
Cd 2.355 -1.360 9.879
Cd 0.000 2.720 9.879
Pd -2.541 -1.467 4.811
Pd 0.000 0.000 5.747
Pd -2.541 1.467 9.621
Pd 0.000 2.934 4.811
Pd 0.000 0.000 8.685



4.
20
Lattice="8.921 0.000 0.000 0.000 13.075 0.000 0.000 0.000 9.792" Properties=species:S:1:pos:R:3 comment="Cs2KCeI6 PBE relaxed" dos_at_fermi_per_ev_cell=16.439 formation_energy_uncorrected_mev_per_atom=-1462.4 space_group="No. 59" e_above_lowest_polymorph_ev_per_atom=0.000 pbc="T T T"
Cs 2.230 0.550 1.841
Cs 2.230 5.987 1.841
Cs 6.691 7.087 7.951
Cs 6.691 12.525 7.951
K 2.230 3.269 6.923
K 6.691 9.806 2.869
Ce 2.230 9.806 7.697
Ce 6.691 3.269 2.095
I 0.077 9.806 0.211
I 0.090 3.269 4.182
I 2.230 6.667 7.717
I 2.230 12.944 7.717
I 4.370 3.269 4.182
I 4.384 9.806 0.211
I 4.538 3.269 9.581
I 4.551 9.806 5.610
I 6.691 0.130 2.075
I 6.691 6.407 2.075
I 8.831 9.806 5.610
I 8.844 3.269 9.581



5.
9
Lattice="8.829 0.000 0.000 0.000 3.645 0.000 -2.038 0.000 9.938" Properties=species:S:1:pos:R:3 comment="Ac2DyY6 PBE relaxed" dft_energy_ev_per_cell=-50.46 dos_at_fermi_per_ev_cell=16.031 space_group="No. 10" pbc="T T T"
Ac 0.770 0.000 4.580
Ac 6.021 0.000 5.359
Dy 4.414 1.822 0.000
Y -0.491 1.822 7.796
Y 1.409 0.000 0.980
Y 3.607 1.822 3.217
Y 3.184 1.822 6.721
Y 5.382 0.000 8.958
Y 7.282 1.822 2.143



6.
6
Lattice="0.000 3.717 3.717 3.717 0.000 3.717 3.717 3.717 0.000" Properties=species:S:1:pos:R:3 comment="ScSiMo4 PBE relaxed" dos_at_fermi_per_ev_cell=5.097 formation_energy_uncorrected_mev_per_atom=204.2 space_group="No. 216" pbc="T T T"
Sc 0.000 0.000 0.000
Si 5.575 5.575 5.575
Mo 2.792 2.792 2.792
Mo 4.641 4.641 2.792
Mo 4.641 2.792 4.641
Mo 2.792 4.641 4.641



7.
7
Lattice="4.449 0.000 0.000 0.000 4.449 0.000 0.000 0.000 6.945" Properties=species:S:1:pos:R:3 comment="TmGa5Ag PBE relaxed" dft_energy_ev_per_cell=-24.17 dos_at_fermi_per_ev_cell=1.927 space_group="No. 123" pbc="T T T"
Tm 0.000 0.000 0.000
Ga 0.000 2.225 1.976
Ga 0.000 2.225 4.969
Ga 2.225 0.000 1.976
Ga 2.225 0.000 4.969
Ga 2.225 2.225 0.000
Ag 0.000 0.000 3.473